First-principles (PBE with a Hubbard U) data for a relaxed structure of CoCu2O, as listed in the Alexandria database.

Unit cell a=7.3894 b=7.3894 c=5.5508 alpha=48.27 beta=48.27 gamma=90.00
Sites, in units of the cell vectors:
Co  0.0000  0.0000  0.0000
Co  0.7500  0.2500  0.5000
O  0.5000  0.5000  0.0000
O  0.2500  0.7500  0.5000
Cu  0.5225  0.1250  0.2500
Cu  0.2275  0.6250  0.2500
Cu  0.3750  0.4775  0.7500
Cu  0.8750  0.7725  0.7500

Computed properties:
Electronic total energy, eV per atom: -4.373
D(E_F), states/eV per cell: 3.18
Symmetry: No. 122